Density functional theory data (PBE-GGA) for a geometry-optimized Nd3Dy4Ho structure.

The structure belongs to space group Pmn2_1 (No. 31); the cell edges are 11.495, 7.322 and 6.310 Å and the angles 90.00°, 90.00° and 90.00°. The inequivalent atoms are Nd at (0.000, 0.127, 0.000), Nd at (0.250, 0.126, 0.334), Dy at (0.000, 0.377, 0.500), Dy at (0.000, 0.622, 0.000), Dy at (0.248, 0.623, 0.333) and Ho at (0.000, 0.871, 0.499).

As for the total magnetization: 0.00 μB/f.u. As for the total DFT energy (no corrections): -4.638 eV per atom.


Density functional theory data (PBE-GGA) for a geometry-optimized SrReIr structure.

The structure belongs to space group Imm2 (No. 44); the cell edges are 2.862, 3.944 and 11.399 Å and the angles 90.00°, 90.00° and 90.00°. The inequivalent atoms are Sr at (0.000, 0.000, 0.000), Re at (0.000, 0.000, 0.284) and Ir at (0.000, 0.000, 0.710).

As for the total magnetization: 0.00 μB/f.u. As for the total DFT energy (no corrections): -7.368 eV per atom.